Record 1
Below is a relaxed Al2OsCl crystal, with properties calculated at the PBE level.

Results
D(E_F) = 3.5 states/eV/cell
VASP energy = -0.3981 Ry per atom
ΔE_f (raw) = -0.28 eV/atom

abc: 3.1304 3.1304 23.0409
angles: 90.00 90.00 120.00
Space group R-3m (No. 166, hexagonal axes)
Asymmetric unit:
Al1 0.0000 0.0000 0.2423 [6 per cell]
Os1 0.0000 0.0000 0.5000 [3 per cell]
Cl1 0.0000 0.0000 0.0000 [3 per cell]

---

Record 2
Below is a relaxed Ce6C3F2 crystal, with properties calculated at the PBE level.

Results
D(E_F) = 34.3 states/eV/cell
VASP energy = -0.5292 Ry per atom
ΔE_f (raw) = -1.11 eV/atom

abc: 6.259 10.839 6.374
angles: 90.00 109.13 90.00
Space group C2/m (No. 12)
Asymmetric unit:
Ce1 0.243 0.000 0.233 [4 per cell]
Ce2 0.245 0.334 0.232 [8 per cell]
C1 0.000 0.169 0.000 [4 per cell]
C2 0.000 0.500 0.000 [2 per cell]
F1 0.000 0.333 0.500 [4 per cell]

---

Record 3
Below is a relaxed V4Fe2Si5 crystal, with properties calculated at the PBE level.

Results
D(E_F) = 34.7 states/eV/cell
VASP energy = -0.5742 Ry per atom
ΔE_f (raw) = -0.49 eV/atom

abc: 7.487 15.366 4.747
angles: 90.00 90.00 90.00
Space group Ibam (No. 72)
Asymmetric unit:
V1 0.109 0.140 0.000 [8 per cell]
V2 0.247 0.437 0.000 [8 per cell]
Fe1 0.000 0.305 0.250 [8 per cell]
Si1 0.000 0.000 0.250 [4 per cell]
Si2 0.084 0.431 0.500 [8 per cell]
Si3 0.207 0.216 0.500 [8 per cell]

---

Record 4
Below is a relaxed Pr2Pd5Au5 crystal, with properties calculated at the PBE level.

Results
D(E_F) = 5.7 states/eV/cell
Energy of formation = -6.5 eV per formula unit
VASP energy = -0.3580 Ry per atom

abc: 4.544 5.527 9.581
angles: 90.00 90.00 90.00
Space group Pmmm (No. 47)
Asymmetric unit:
Pr1 0.000 0.000 0.000 [1 per cell]
Pr2 0.000 0.500 0.500 [1 per cell]
Pd1 0.500 0.000 0.500 [1 per cell]
Pd2 0.500 0.249 0.251 [4 per cell]
Au1 0.000 0.000 0.333 [2 per cell]
Au2 0.000 0.500 0.172 [2 per cell]
Au3 0.500 0.500 0.000 [1 per cell]

---

Record 5
Below is a relaxed Na2VPbBr6 crystal, with properties calculated at the PBE level.

Results
VASP energy = -0.2683 Ry per atom
ΔE_f (raw) = -1.10 eV/atom

abc: 7.3430 7.3430 19.6350
angles: 90.00 90.00 120.00
Space group R3 (No. 146, hexagonal axes)
Asymmetric unit:
Na1 0.0000 0.0000 0.0000 [3 per cell]
Na2 0.0000 0.0000 0.4896 [3 per cell]
V1 0.0000 0.0000 0.6869 [3 per cell]
Pb1 0.0000 0.0000 0.1944 [3 per cell]
Br1 0.0166 0.3757 0.4273 [9 per cell]
Br2 0.0481 0.6706 0.2706 [9 per cell]

---

Record 6
Below is a relaxed HfHIrRu2 crystal, with properties calculated at the PBE level.

Results
D(E_F) = 3.9 states/eV/cell
VASP energy = -0.6267 Ry per atom

abc: 3.922 3.922 4.151
angles: 90.00 90.00 90.00
Space group P4/mmm (No. 123)
Asymmetric unit:
Hf1 0.000 0.000 0.000 [1 per cell]
H1 0.000 0.000 0.500 [1 per cell]
Ir1 0.500 0.500 0.000 [1 per cell]
Ru1 0.000 0.500 0.500 [2 per cell]

---

Record 7
Below is a relaxed ScZnGa crystal, with properties calculated at the PBE level.

Results
D(E_F) = 4.4 states/eV/cell
Energy of formation = -1.1 eV per formula unit
VASP energy = -0.2868 Ry per atom

abc: 5.100 3.089 6.983
angles: 90.00 93.81 90.00
Space group Pm (No. 6)
Asymmetric unit:
Sc1 0.000 0.000 0.000 [1 per cell]
Sc2 0.406 0.000 0.372 [1 per cell]
Zn1 0.505 0.500 0.025 [1 per cell]
Zn2 0.705 0.500 0.686 [1 per cell]
Ga1 0.205 0.500 0.687 [1 per cell]
Ga2 0.899 0.500 0.341 [1 per cell]

---

Record 8
Below is a relaxed Tm3In2Co crystal, with properties calculated at the PBE level.

Results
D(E_F) = 14.0 states/eV/cell
Energy of formation = -1.9 eV per formula unit
VASP energy = -0.3413 Ry per atom

abc: 7.024 16.461 5.053
angles: 90.00 90.00 90.00
Space group Imma (No. 74)
Asymmetric unit:
Tm1 0.000 0.250 0.249 [4 per cell]
Tm2 0.250 0.125 0.750 [8 per cell]
In1 0.000 0.053 0.250 [8 per cell]
Co1 0.000 0.250 0.749 [4 per cell]

---

Record 9
Below is a relaxed Cd3Ge crystal, with properties calculated at the PBE level.

Results
D(E_F) = 1.0 states/eV/cell
Energy of formation = 0.4 eV per formula unit
VASP energy = -0.1282 Ry per atom

abc: 2.918 10.937 5.573
angles: 90.00 90.00 90.00
Space group Imm2 (No. 44)
Asymmetric unit:
Cd1 0.000 0.000 0.000 [2 per cell]
Cd2 0.000 0.246 0.498 [4 per cell]
Ge1 0.000 0.500 0.000 [2 per cell]

---

Record 10
Below is a relaxed Y2PC crystal, with properties calculated at the PBE level.

Results
D(E_F) = 15.2 states/eV/cell
Energy of formation = -0.4 eV per formula unit
VASP energy = -0.5134 Ry per atom

abc: 6.637 6.637 6.637
angles: 90.00 90.00 90.00
Space group Fm-3m (No. 225)
Asymmetric unit:
Y1 0.250 0.250 0.250 [8 per cell]
P1 0.000 0.000 0.000 [4 per cell]
C1 0.000 0.000 0.500 [4 per cell]

---

Record 11
Below is a relaxed CaCdNi crystal, with properties calculated at the PBE level.

Results
D(E_F) = 7.4 states/eV/cell
Energy of formation = 1.4 eV per formula unit
VASP energy = -0.1789 Ry per atom

abc: 6.793 6.793 6.793
angles: 90.00 90.00 90.00
Space group F-43m (No. 216)
Asymmetric unit:
Ca1 0.000 0.000 0.000 [4 per cell]
Cd1 0.250 0.250 0.250 [4 per cell]
Ni1 0.250 0.250 0.750 [4 per cell]

---

Record 12
Below is a relaxed LiCr2IrBr crystal, with properties calculated at the PBE level.

Results
D(E_F) = 3.9 states/eV/cell
VASP energy = -0.4212 Ry per atom
ΔE_f (raw) = 0.61 eV/atom

abc: 4.776 4.776 5.036
angles: 90.00 90.00 90.00
Space group P4/mmm (No. 123)
Asymmetric unit:
Li1 0.000 0.000 0.000 [1 per cell]
Cr1 0.000 0.500 0.500 [2 per cell]
Ir1 0.000 0.000 0.500 [1 per cell]
Br1 0.500 0.500 0.000 [1 per cell]